Entry 1:
Compound: GdNiC2
Source: Alexandria
Functional: GGA-PBE
Structure: optimized geometry

Results
Formation energy   -304.2 meV/atom
VASP energy   -0.3631 Ha/atom
Density of states at the Fermi level   1.60 states/eV/f.u.
Spin magnetization   7.08 μB per formula unit

CIF file:
```
data_GdNiC2
_symmetry_space_group_name_H-M 'A m m 2'
_symmetry_Int_Tables_number 38
_cell_length_a 3.6714
_cell_length_b 4.5335
_cell_length_c 6.0383
_cell_angle_alpha 90.00
_cell_angle_beta 90.00
_cell_angle_gamma 90.00
loop_
_symmetry_equiv_pos_as_xyz
'x,y,z'
'-x,-y,z'
'-x,y,z'
'x,-y,z'
'x,y+1/2,z+1/2'
'-x,-y+1/2,z+1/2'
'-x,y+1/2,z+1/2'
'x,-y+1/2,z+1/2'
loop_
_atom_site_label
_atom_site_fract_x
_atom_site_fract_y
_atom_site_fract_z
Gd1 0.0000 0.0000 0.0000
Ni1 0.5000 0.0000 0.3876
C1 0.5000 0.1513 0.6989
```

Entry 2:
Compound: CoCuPb2
Source: Alexandria
Functional: GGA-PBE
Structure: optimized geometry

Results
Energy above the lowest structure with this stoichiometry   0.154 eV/atom
Formation energy   458.8 meV/atom
VASP energy   -0.1542 Ha/atom
Density of states at the Fermi level   2.29 states/eV/f.u.
Spin magnetization   1.02 μB per formula unit

CIF file:
```
data_CoCuPb2
_symmetry_space_group_name_H-M 'P 1 2/m 1'
_symmetry_Int_Tables_number 10
_cell_length_a 3.4117
_cell_length_b 3.3776
_cell_length_c 6.9215
_cell_angle_alpha 90.00
_cell_angle_beta 94.77
_cell_angle_gamma 90.00
loop_
_symmetry_equiv_pos_as_xyz
'x,y,z'
'-x,-y,-z'
'-x,y,-z'
'x,-y,z'
loop_
_atom_site_label
_atom_site_fract_x
_atom_site_fract_y
_atom_site_fract_z
Co1 0.0000 0.0000 0.0000
Cu1 0.0000 0.0000 0.5000
Pb1 0.4873 0.5000 0.7617
```

Entry 3:
Compound: CdAg2Sn2
Source: Alexandria
Functional: GGA-PBE
Structure: optimized geometry

Results
Energy above the lowest structure with this stoichiometry   0.135 eV/atom
Formation energy   184.5 meV/atom
VASP energy   -0.1007 Ha/atom
Density of states at the Fermi level   2.36 states/eV/f.u.
Spin magnetization   0.00 μB per formula unit

CIF file:
```
data_CdAg2Sn2
_symmetry_space_group_name_H-M 'I 4/m m m'
_symmetry_Int_Tables_number 139
_symmetry_space_group_name_Hall '-I 4 2'
_cell_length_a 4.2758
_cell_length_b 4.2758
_cell_length_c 13.5751
_cell_angle_alpha 90.00
_cell_angle_beta 90.00
_cell_angle_gamma 90.00
loop_
_atom_site_label
_atom_site_fract_x
_atom_site_fract_y
_atom_site_fract_z
Cd1 0.0000 0.0000 0.0000
Ag1 0.0000 0.0000 0.4011
Sn1 0.0000 0.5000 0.2500
```

Entry 4:
Compound: YMgNi4H4
Source: Alexandria
Functional: GGA-PBE
Structure: optimized geometry

Results
VASP energy   -0.1720 Ha/atom
Density of states at the Fermi level   5.08 states/eV/f.u.
Spin magnetization   0.00 μB per formula unit

CIF file:
```
data_YMgNi4H4
_symmetry_space_group_name_H-M 'F -4 3 m'
_symmetry_Int_Tables_number 216
_symmetry_space_group_name_Hall 'F -4 2 3'
_cell_length_a 7.4167
_cell_length_b 7.4167
_cell_length_c 7.4167
_cell_angle_alpha 90.00
_cell_angle_beta 90.00
_cell_angle_gamma 90.00
loop_
_atom_site_label
_atom_site_fract_x
_atom_site_fract_y
_atom_site_fract_z
Y1 0.0000 0.0000 0.0000
Mg1 0.2500 0.2500 0.2500
Ni1 0.1182 0.1182 0.6182
H1 0.1612 0.1612 0.8388
```

Entry 5:
Compound: Ho3SiBr3
Source: Alexandria
Functional: GGA-PBE
Structure: optimized geometry

Results
VASP energy   -0.1765 Ha/atom
Density of states at the Fermi level   2.34 states/eV/f.u.
Spin magnetization   0.00 μB per formula unit
Uncorrected formation energy   -1.349 eV/atom

CIF file:
```
data_Ho3SiBr3
_symmetry_space_group_name_H-M 'I 41 3 2'
_symmetry_Int_Tables_number 214
_symmetry_space_group_name_Hall 'I 4bd 2c 3'
_cell_length_a 11.5549
_cell_length_b 11.5549
_cell_length_c 11.5549
_cell_angle_alpha 90.00
_cell_angle_beta 90.00
_cell_angle_gamma 90.00
loop_
_atom_site_label
_atom_site_fract_x
_atom_site_fract_y
_atom_site_fract_z
Ho1 0.1120 0.3620 0.1250
Si1 0.1250 0.1250 0.1250
Br1 0.1202 0.1298 0.6250
```

Entry 6:
Compound: BaCoSe2
Source: Alexandria
Functional: GGA-PBE
Structure: optimized geometry

Results
VASP energy   -0.1658 Ha/atom
Density of states at the Fermi level   3.42 states/eV/f.u.
Spin magnetization   2.83 μB per formula unit
Uncorrected formation energy   -0.512 eV/atom

CIF file:
```
data_BaCoSe2
_symmetry_space_group_name_H-M 'P m m 2'
_symmetry_Int_Tables_number 25
_cell_length_a 4.0142
_cell_length_b 4.0392
_cell_length_c 7.2136
_cell_angle_alpha 90.00
_cell_angle_beta 90.00
_cell_angle_gamma 90.00
loop_
_symmetry_equiv_pos_as_xyz
'x,y,z'
'-x,-y,z'
'-x,y,z'
'x,-y,z'
loop_
_atom_site_label
_atom_site_fract_x
_atom_site_fract_y
_atom_site_fract_z
Ba1 0.0000 0.0000 0.0000
Co1 0.5000 0.5000 0.5014
Se1 0.0000 0.0000 0.4459
Se2 0.5000 0.5000 0.8280
```